(1)
## ScSeCl2 (GGA-PBE)

Data for a relaxed structure of ScSeCl2.

Values from the calculation:
- Total moment: 2.49 μB/cell
- Relative energy among the computed polymorphs: 1119 meV per atom
- D(E_F): 7.61 states/eV/cell
- ΔE_f (raw): -0.371 eV/atom
- Volume: 390.6 Å³/cell

Cell: 3.4616 3.4616 37.6398 Å, 90.00 90.00 120.00°
Space group R-3m (No. 166, hexagonal axes)
One atom of each set of equivalent atoms:
1 Sc 0.0000 0.0000 0.0000 x3
2 Se 0.0000 0.0000 0.5000 x3
3 Cl 0.0000 0.0000 0.0603 x6



(2)
## Sc3SeCl (GGA-PBE)

Data for a relaxed structure of Sc3SeCl.

Values from the calculation:
- Total moment: 0.00 μB/cell
- Relative energy among the computed polymorphs: 0 meV per atom
- D(E_F): 6.78 states/eV/cell
- ΔE_f (raw): -0.372 eV/atom
- Volume: 108.7 Å³/cell

Cell: 4.772 4.772 4.772 Å, 90.00 90.00 90.00°
Space group Pm-3m (No. 221)
One atom of each set of equivalent atoms:
1 Sc 0.000 0.000 0.500 x3
2 Se 0.500 0.500 0.500 x1
3 Cl 0.000 0.000 0.000 x1



(3)
## Sc2SeCl (GGA-PBE)

Data for a relaxed structure of Sc2SeCl.

Values from the calculation:
- Total moment: 0.91 μB/cell
- Relative energy among the computed polymorphs: 98 meV per atom
- D(E_F): 13.45 states/eV/cell
- ΔE_f (raw): -1.265 eV/atom
- Volume: 292.6 Å³/cell

Cell: 3.7608 3.7608 23.8863 Å, 90.00 90.00 120.00°
Space group R-3m (No. 166, hexagonal axes)
One atom of each set of equivalent atoms:
1 Sc 0.0000 0.0000 0.1021 x6
2 Se 0.0000 0.0000 0.5000 x3
3 Cl 0.0000 0.0000 0.0000 x3



(4)
## ScSeCl (GGA-PBE)

Data for a relaxed structure of ScSeCl.

Values from the calculation:
- Total moment: 0.00 μB/cell
- ΔE_f (raw): -0.857 eV/atom
- Volume: 293.8 Å³/cell

Cell: 6.648 6.648 6.648 Å, 90.00 90.00 90.00°
Space group F-43m (No. 216)
One atom of each set of equivalent atoms:
1 Sc 0.000 0.000 0.000 x4
2 Se 0.250 0.250 0.250 x4
3 Cl 0.000 0.000 0.500 x4



(5)
## ScSeCl2 (GGA-PBE)

Data for a relaxed structure of ScSeCl2.

Values from the calculation:
- Total moment: 0.51 μB/cell
- Relative energy among the computed polymorphs: 819 meV per atom
- D(E_F): 2.12 states/eV/cell
- ΔE_f (raw): -0.671 eV/atom
- Volume: 82.7 Å³/cell

Cell: 4.289 4.289 4.497 Å, 90.00 90.00 90.00°
Space group P4/mmm (No. 123)
One atom of each set of equivalent atoms:
1 Sc 0.000 0.000 0.000 x1
2 Se 0.500 0.500 0.000 x1
3 Cl 0.000 0.500 0.500 x2



(6)
## ScSeCl2 (GGA-PBE)

Data for a relaxed structure of ScSeCl2.

Values from the calculation:
- Total moment: 0.30 μB/cell
- Relative energy among the computed polymorphs: 402 meV per atom
- D(E_F): 2.50 states/eV/cell
- ΔE_f (raw): -1.089 eV/atom
- Volume: 96.8 Å³/cell

Cell: 3.093 3.093 10.117 Å, 90.00 90.00 90.00°
Space group P4/mmm (No. 123)
One atom of each set of equivalent atoms:
1 Sc 0.000 0.000 0.000 x1
2 Se 0.000 0.000 0.500 x1
3 Cl 0.500 0.500 0.151 x2



Question: Which formula does entry 3 have?
Answer: Sc2SeCl